First-principles (meta-GGA SCAN) data for a crystal of Hg3AuN relaxed with PBEsol, as listed in Alexandria.

extended XYZ file:
```
5
Lattice="5.3001 0.0000 0.0000 0.0000 5.3001 0.0000 0.0000 0.0000 5.3001" Properties=species:S:1:pos:R:3 pbc="T T T"
Hg 0.0000 0.0000 2.6501
Hg 0.0000 2.6501 0.0000
Hg 2.6501 0.0000 0.0000
Au 0.0000 0.0000 0.0000
N 2.6501 2.6501 2.6501
```

Output
Its energy relative to the elements, uncorrected is 0.936 eV/atom.



First-principles (meta-GGA SCAN) data for a crystal of Ta4NiS8 relaxed with PBEsol, as listed in Alexandria.

extended XYZ file:
```
13
Lattice="3.3059 0.0000 0.0000 -1.6529 2.8630 0.0000 0.0000 0.0000 23.9298" Properties=species:S:1:pos:R:3 pbc="T T T"
Ta 0.0000 0.0000 2.8999
Ta 0.0000 0.0000 8.9719
Ta 0.0000 0.0000 14.9579
Ta 0.0000 0.0000 21.0299
Ni 0.0000 0.0000 0.0000
S 0.0000 1.9087 1.3435
S 0.0000 1.9087 4.4544
S 0.0000 1.9087 13.4065
S 0.0000 1.9087 16.5160
S 1.6529 0.9543 7.4139
S 1.6529 0.9543 10.5233
S 1.6529 0.9543 19.4754
S 1.6529 0.9543 22.5863
```

Output
Its energy relative to the elements, uncorrected is -1.041 eV/atom.



First-principles (meta-GGA SCAN) data for a crystal of YCd2Os relaxed with PBEsol, as listed in Alexandria.

extended XYZ file:
```
4
Lattice="1.4783 0.8535 10.1603 -1.4783 0.8535 10.1603 0.0000 -1.7070 10.1603" Properties=species:S:1:pos:R:3 pbc="T T T"
Y 0.0000 0.0000 0.0000
Cd 0.0000 0.0000 7.3645
Cd 0.0000 0.0000 23.1165
Os 0.0000 0.0000 15.2405
```

Output
The value obtained for the formation energy is 478.5 meV/atom.



First-principles (meta-GGA SCAN) data for a crystal of K2IrF6 relaxed with PBEsol, as listed in Alexandria.

extended XYZ file:
```
9
Lattice="5.7649 0.0000 0.0000 -2.8825 4.9926 0.0000 0.0000 0.0000 4.5802" Properties=species:S:1:pos:R:3 pbc="T T T"
K 0.0000 3.3284 1.3056
K 2.8825 1.6642 3.2746
Ir 0.0000 0.0000 0.0000
F 0.0000 1.6456 3.5309
F -1.4573 4.1698 3.5309
F 1.4251 0.8228 1.0493
F 1.4573 4.1698 3.5309
F 4.3398 0.8228 1.0493
F 2.8825 3.3470 1.0493
```

Output
Its energy relative to the elements, uncorrected is -2.374 eV/atom.



First-principles (meta-GGA SCAN) data for a crystal of Cr2ReHgF relaxed with PBEsol, as listed in Alexandria.

extended XYZ file:
```
5
Lattice="3.9109 0.0000 0.0000 0.0000 3.9109 0.0000 0.0000 0.0000 4.7476" Properties=species:S:1:pos:R:3 pbc="T T T"
Cr 0.0000 1.9554 0.0000
Cr 1.9554 0.0000 0.0000
Re 0.0000 0.0000 2.3738
Hg 1.9554 1.9554 2.3738
F 1.9554 1.9554 0.0000
```

Output
Its energy relative to the elements, uncorrected is 0.375 eV/atom.



First-principles (meta-GGA SCAN) data for a crystal of CeGaNi relaxed with PBEsol, as listed in Alexandria.

extended XYZ file:
```
12
Lattice="7.3595 0.0000 0.0000 0.0000 4.3773 0.0000 0.0000 0.0000 6.3725" Properties=species:S:1:pos:R:3 pbc="T T T"
Ce 0.2053 1.0943 1.0157
Ce 3.4744 3.2830 4.2020
Ce 3.8851 1.0943 2.1706
Ce 7.1542 3.2830 5.3568
Ga 1.2772 1.0943 3.8194
Ga 2.4026 3.2830 0.6331
Ga 4.9570 1.0943 5.7394
Ga 6.0824 3.2830 2.5532
Ni 1.1770 3.2830 2.6590
Ni 2.5028 1.0943 5.8452
Ni 4.8568 3.2830 0.5273
Ni 6.1826 1.0943 3.7135
```

Output
The value obtained for the formation energy is -605.1 meV/atom.



First-principles (meta-GGA SCAN) data for a crystal of LiYOF2 relaxed with PBEsol, as listed in Alexandria.

extended XYZ file:
```
5
Lattice="3.4735 0.0000 0.0000 0.0000 3.4735 0.0000 0.0000 0.0000 3.9881" Properties=species:S:1:pos:R:3 pbc="T T T"
Li 0.0000 0.0000 0.0000
Y 1.7368 1.7368 1.9941
O 0.0000 0.0000 1.9941
F 0.0000 1.7368 0.0000
F 1.7368 0.0000 0.0000
```

Output
Its energy relative to the elements, uncorrected is -3.438 eV/atom.



First-principles (meta-GGA SCAN) data for a crystal of BeFe2BPt relaxed with PBEsol, as listed in Alexandria.

extended XYZ file:
```
5
Lattice="3.7647 0.0000 0.0000 0.0000 3.7647 0.0000 0.0000 0.0000 4.0514" Properties=species:S:1:pos:R:3 pbc="T T T"
Be 0.0000 0.0000 0.0000
Fe 0.0000 1.8823 0.0000
Fe 1.8823 0.0000 0.0000
B 1.8823 1.8823 2.0257
Pt 0.0000 0.0000 2.0257
```

Output
The value obtained for the formation energy is 895.7 meV/atom.



Respective DFT total energy values: -55.65; -28.70; -39.66; -14.49; -35.54; -26.30; -12.15; -22.75 eV/atom.
Respective size of the total moment values: 2.8; 1.3; 0.1; 1.0; 6.6; 0.0; 0.0; 4.6 μB/f.u..